First-principles (PBE) data for a geometry-optimized Sr4GaPd3 structure, as listed in Alexandria.

Cell and atoms, written as CIF:
```
data_Sr4GaPd3
_chemical_formula_sum 'Sr4 Ga1 Pd3'
_space_group_name_H-M_alt 'P 1'
_space_group_IT_number 1
_cell_length_a 4.395
_cell_length_b 4.521
_cell_length_c 11.653
_cell_angle_alpha 90.00
_cell_angle_beta 90.00
_cell_angle_gamma 90.00
loop_
_space_group_symop_operation_xyz
'x,y,z'
loop_
_atom_site_label
_atom_site_fract_x
_atom_site_fract_y
_atom_site_fract_z
Sr1 0.500 0.500 0.368
Sr2 0.000 0.000 0.146
Sr3 0.500 0.000 0.633
Sr4 0.000 0.500 0.850
Pd1 0.000 0.500 0.574
Pd2 0.500 0.000 0.947
Pd3 0.000 0.000 0.427
Ga1 0.500 0.500 0.054
```

Calculated values
- total magnetic moment (μB/f.u.) = 0.0
- DFT formation energy (meV per atom) = -572.6